Arrangement 1

A geometry-optimized Li2MnRe structure, computed with PBE-GGA.

Computed properties:
Calculated density: 7.814 g cm⁻³
Magnetic moment: 1.00 μB/f.u.

Cell lengths 2.455, 2.455, 8.991 Å; angles 90.00, 90.00, 90.00 degrees
Sites, in units of the cell vectors:
Li (0.000, 0.000, 0.003)
Mn (0.500, 0.500, 0.250)
Re (0.500, 0.500, 0.750)
Li (0.000, 0.000, 0.497)



Arrangement 2

A geometry-optimized Li2MnRe structure, computed with PBE-GGA.

Computed properties:
Calculated density: 7.764 g cm⁻³
Magnetic moment: 0.74 μB/f.u.

Cell lengths 4.406, 4.406, 5.193 Å; angles 87.64, 87.64, 32.78 degrees
Sites, in units of the cell vectors:
Li (0.001, 0.001, 0.015)
Mn (0.503, 0.503, 0.536)
Li (0.248, 0.248, 0.235)
Re (0.749, 0.749, 0.714)



Arrangement 3

A geometry-optimized Li2MnRe structure, computed with PBE-GGA.

Computed properties:
Calculated density: 8.205 g cm⁻³
Magnetic moment: 0.00 μB/f.u.

Cell lengths 4.522, 3.378, 3.378 Å; angles 90.00, 90.00, 90.00 degrees
Sites, in units of the cell vectors:
Mn (0.500, 0.500, 0.000)
Li (0.000, 0.500, 0.500)
Re (0.500, 0.000, 0.500)
Li (0.000, 0.000, 0.000)



It is arrangement 1 that is the least stable of them.



Arrangement 1

A geometry-optimized Li2MnRe structure, computed with PBE-GGA.

Computed properties:
Calculated density: 7.699 g cm⁻³
Magnetic moment: 2.36 μB/f.u.

Cell lengths 5.313, 5.313, 2.577 Å; angles 79.35, 79.35, 124.53 degrees
Sites, in units of the cell vectors:
Mn (0.500, 0.000, 0.500)
Re (0.000, 0.500, 0.500)
Li (0.500, 0.500, 0.000)
Li (0.000, 0.000, 0.000)



Arrangement 2

A geometry-optimized Li2MnRe structure, computed with PBE-GGA.

Computed properties:
Calculated density: 8.733 g cm⁻³
Magnetic moment: 0.01 μB/f.u.

Cell lengths 4.093, 4.093, 4.093 Å; angles 119.99, 119.99, 90.02 degrees
Sites, in units of the cell vectors:
Mn (0.500, 0.500, 0.000)
Li (0.250, 0.750, 0.500)
Re (0.750, 0.250, 0.500)
Li (0.000, 0.000, 0.000)



Arrangement 3

A geometry-optimized Li2MnRe structure, computed with PBE-GGA.

Computed properties:
Calculated density: 9.069 g cm⁻³
Magnetic moment: 0.00 μB/f.u.

Cell lengths 4.042, 4.042, 4.042 Å; angles 60.00, 60.00, 60.00 degrees
Sites, in units of the cell vectors:
Li (0.750, 0.750, 0.750)
Li (0.250, 0.250, 0.250)
Mn (0.000, 0.000, 0.000)
Re (0.500, 0.500, 0.500)



Arrangement 4

A geometry-optimized Li2MnRe structure, computed with PBE-GGA.

Computed properties:
Calculated density: 7.391 g cm⁻³
Magnetic moment: 2.22 μB/f.u.

Cell lengths 2.558, 4.015, 5.578 Å; angles 90.00, 90.00, 90.00 degrees
Sites, in units of the cell vectors:
Li (0.000, 0.000, 0.010)
Li (0.500, 0.500, 0.237)
Re (0.500, 0.500, 0.715)
Mn (0.000, 0.000, 0.539)



It is arrangement 3 that is the least stable of them.



Arrangement 1

A geometry-optimized Li2MnRe structure, computed with PBE-GGA.

Computed properties:
Calculated density: 7.130 g cm⁻³
Magnetic moment: 2.12 μB/f.u.

Cell lengths 2.642, 2.642, 9.146 Å; angles 90.00, 90.00, 111.47 degrees
Sites, in units of the cell vectors:
Li (0.000, 0.000, 0.983)
Mn (0.000, 0.000, 0.515)
Li (0.500, 0.500, 0.269)
Re (0.500, 0.500, 0.732)



Arrangement 2

A geometry-optimized Li2MnRe structure, computed with PBE-GGA.

Computed properties:
Calculated density: 7.372 g cm⁻³
Magnetic moment: 2.90 μB/f.u.

Cell lengths 2.620, 2.620, 9.494 Å; angles 90.00, 90.00, 118.17 degrees
Sites, in units of the cell vectors:
Li (0.000, 0.000, 0.999)
Li (0.000, 0.000, 0.501)
Mn (0.500, 0.500, 0.250)
Re (0.500, 0.500, 0.750)



Arrangement 3

A geometry-optimized Li2MnRe structure, computed with PBE-GGA.

Computed properties:
Calculated density: 7.924 g cm⁻³
Magnetic moment: 3.54 μB/f.u.

Cell lengths 4.564, 4.564, 2.566 Å; angles 90.00, 90.00, 90.00 degrees
Sites, in units of the cell vectors:
Re (0.000, 0.500, 0.500)
Li (0.500, 0.500, 0.000)
Li (0.000, 0.000, 0.000)
Mn (0.500, 0.000, 0.500)



Arrangement 4

A geometry-optimized Li2MnRe structure, computed with PBE-GGA.

Computed properties:
Calculated density: 7.762 g cm⁻³
Magnetic moment: 0.40 μB/f.u.

Cell lengths 4.112, 2.511, 5.338 Å; angles 81.86, 90.00, 90.00 degrees
Sites, in units of the cell vectors:
Li (0.000, 0.017, 0.015)
Re (0.500, 0.738, 0.710)
Li (0.500, 0.265, 0.235)
Mn (0.000, 0.480, 0.539)



It is arrangement 3 that is the least stable of them.



Arrangement 1

A geometry-optimized Li2MnRe structure, computed with PBE-GGA.

Computed properties:
Calculated density: 7.240 g cm⁻³
Magnetic moment: 1.30 μB/f.u.

Cell lengths 2.955, 2.955, 6.698 Å; angles 90.00, 90.00, 90.00 degrees
Sites, in units of the cell vectors:
Li (0.000, 0.000, 0.987)
Mn (0.000, 0.000, 0.532)
Li (0.500, 0.500, 0.269)
Re (0.500, 0.500, 0.711)



Arrangement 2

A geometry-optimized Li2MnRe structure, computed with PBE-GGA.

Computed properties:
Calculated density: 8.179 g cm⁻³
Magnetic moment: 0.00 μB/f.u.

Cell lengths 5.120, 5.120, 5.120 Å; angles 141.43, 141.43, 55.68 degrees
Sites, in units of the cell vectors:
Li (0.500, 0.500, 0.000)
Re (0.750, 0.250, 0.500)
Mn (0.250, 0.750, 0.500)
Li (0.000, 0.000, 0.000)



It is arrangement 2 that is the least stable of them.



Arrangement 1

A geometry-optimized Li2MnRe structure, computed with PBE-GGA.

Computed properties:
Calculated density: 7.957 g cm⁻³
Magnetic moment: 0.95 μB/f.u.

Cell lengths 2.471, 4.518, 4.768 Å; angles 90.00, 90.00, 90.00 degrees
Sites, in units of the cell vectors:
Li (0.000, 0.000, 0.501)
Li (0.000, 0.000, 0.999)
Re (0.500, 0.500, 0.750)
Mn (0.500, 0.500, 0.250)



Arrangement 2

A geometry-optimized Li2MnRe structure, computed with PBE-GGA.

Computed properties:
Calculated density: 7.697 g cm⁻³
Magnetic moment: 2.91 μB/f.u.

Cell lengths 6.784, 6.784, 5.360 Å; angles 50.74, 50.74, 90.00 degrees
Sites, in units of the cell vectors:
Li (0.875, 0.864, 0.750)
Li (0.375, 0.386, 0.750)
Re (0.750, 0.250, 0.500)
Re (0.000, 0.000, 0.000)
Mn (0.500, 0.500, 0.000)
Li (0.614, 0.125, 0.250)
Mn (0.250, 0.750, 0.500)
Li (0.136, 0.625, 0.250)



It is arrangement 2 that is the least stable of them.



Arrangement 1

A geometry-optimized Li2MnRe structure, computed with PBE-GGA.

Computed properties:
Calculated density: 7.690 g cm⁻³
Magnetic moment: 2.28 μB/f.u.

Cell lengths 4.710, 2.575, 4.580 Å; angles 82.46, 90.00, 90.00 degrees
Sites, in units of the cell vectors:
Li (0.000, 0.033, 0.994)
Mn (0.500, 0.250, 0.250)
Li (0.000, 0.467, 0.506)
Re (0.500, 0.750, 0.750)



Arrangement 2

A geometry-optimized Li2MnRe structure, computed with PBE-GGA.

Computed properties:
Calculated density: 7.209 g cm⁻³
Magnetic moment: 3.90 μB/f.u.

Cell lengths 9.572, 9.572, 9.572 Å; angles 16.09, 16.09, 16.09 degrees
Sites, in units of the cell vectors:
Re (0.750, 0.750, 0.750)
Li (0.001, 0.001, 0.001)
Mn (0.250, 0.250, 0.250)
Li (0.499, 0.499, 0.499)



It is arrangement 2 that is the least stable of them.



Arrangement 1

A geometry-optimized LiMnRu2 structure, computed with PBE-GGA.

Computed properties:
Calculated density: 8.236 g cm⁻³
Magnetic moment: 0.75 μB/f.u.

Cell lengths 8.840, 8.840, 8.840 Å; angles 17.29, 17.29, 17.29 degrees
Sites, in units of the cell vectors:
Ru (0.994, 0.994, 0.994)
Mn (0.250, 0.250, 0.250)
Li (0.750, 0.750, 0.750)
Ru (0.506, 0.506, 0.506)



Arrangement 2

A geometry-optimized LiMnRu2 structure, computed with PBE-GGA.

Computed properties:
Calculated density: 8.750 g cm⁻³
Magnetic moment: 1.71 μB/f.u.

Cell lengths 2.943, 2.943, 5.783 Å; angles 90.00, 90.00, 90.00 degrees
Sites, in units of the cell vectors:
Ru (0.000, 0.000, 0.005)
Li (0.500, 0.500, 0.250)
Mn (0.500, 0.500, 0.750)
Ru (0.000, 0.000, 0.495)



Arrangement 3

A geometry-optimized LiMnRu2 structure, computed with PBE-GGA.

Computed properties:
Calculated density: 7.721 g cm⁻³
Magnetic moment: 2.74 μB/f.u.

Cell lengths 2.652, 2.652, 8.962 Å; angles 90.00, 90.00, 115.70 degrees
Sites, in units of the cell vectors:
Ru (0.500, 0.500, 0.246)
Mn (0.500, 0.500, 0.762)
Li (0.000, 0.000, 0.498)
Ru (0.000, 0.000, 0.994)



It is arrangement 3 that is the least stable of them.



Arrangement 1

A geometry-optimized LiMnRu2 structure, computed with PBE-GGA.

Computed properties:
Calculated density: 8.046 g cm⁻³
Magnetic moment: 4.37 μB/f.u.

Cell lengths 2.900, 2.900, 6.480 Å; angles 90.00, 90.00, 90.00 degrees
Sites, in units of the cell vectors:
Ru (0.000, 0.000, 0.009)
Mn (0.500, 0.500, 0.739)
Li (0.000, 0.000, 0.495)
Ru (0.500, 0.500, 0.257)



Arrangement 2

A geometry-optimized LiMnRu2 structure, computed with PBE-GGA.

Computed properties:
Calculated density: 8.051 g cm⁻³
Magnetic moment: 2.45 μB/f.u.

Cell lengths 5.090, 5.090, 5.090 Å; angles 147.93, 128.24, 62.20 degrees
Sites, in units of the cell vectors:
Ru (0.018, 0.018, 0.000)
Li (0.750, 0.250, 0.500)
Mn (0.250, 0.750, 0.500)
Ru (0.482, 0.482, 0.000)



Arrangement 3

A geometry-optimized LiMnRu2 structure, computed with PBE-GGA.

Computed properties:
Calculated density: 7.534 g cm⁻³
Magnetic moment: 0.00 μB/f.u.

Cell lengths 6.775, 6.775, 5.420 Å; angles 51.32, 51.32, 90.00 degrees
Sites, in units of the cell vectors:
Li (0.250, 0.750, 0.500)
Ru (0.072, 0.625, 0.250)
Ru (0.375, 0.322, 0.750)
Ru (0.875, 0.928, 0.750)
Li (0.500, 0.500, 0.000)
Ru (0.678, 0.125, 0.250)
Mn (0.750, 0.250, 0.500)
Mn (0.000, 0.000, 0.000)



It is arrangement 3 that is the least stable of them.



Arrangement 1

A geometry-optimized LiMnRu2 structure, computed with PBE-GGA.

Computed properties:
Calculated density: 8.263 g cm⁻³
Magnetic moment: 2.57 μB/f.u.

Cell lengths 4.200, 2.631, 4.818 Å; angles 85.44, 90.00, 90.00 degrees
Sites, in units of the cell vectors:
Li (0.500, 0.250, 0.250)
Ru (0.000, 0.499, 0.493)
Mn (0.500, 0.750, 0.750)
Ru (0.000, 0.001, 0.007)



Arrangement 2

A geometry-optimized LiMnRu2 structure, computed with PBE-GGA.

Computed properties:
Calculated density: 8.442 g cm⁻³
Magnetic moment: 2.60 μB/f.u.

Cell lengths 4.921, 4.921, 4.921 Å; angles 144.90, 129.97, 62.58 degrees
Sites, in units of the cell vectors:
Ru (0.001, 0.001, 0.000)
Mn (0.250, 0.750, 0.500)
Ru (0.750, 0.250, 0.500)
Li (0.499, 0.499, 0.000)



Arrangement 3

A geometry-optimized LiMnRu2 structure, computed with PBE-GGA.

Computed properties:
Calculated density: 7.963 g cm⁻³
Magnetic moment: 2.72 μB/f.u.

Cell lengths 2.648, 2.648, 8.652 Å; angles 90.00, 90.00, 114.79 degrees
Sites, in units of the cell vectors:
Ru (0.000, 0.000, 0.988)
Li (0.500, 0.500, 0.250)
Mn (0.500, 0.500, 0.750)
Ru (0.000, 0.000, 0.512)



It is arrangement 3 that is the least stable of them.



Arrangement 1

A geometry-optimized LiMnRu2 structure, computed with PBE-GGA.

Computed properties:
Calculated density: 8.118 g cm⁻³
Magnetic moment: 3.39 μB/f.u.

Cell lengths 4.641, 4.641, 4.555 Å; angles 80.25, 80.25, 34.01 degrees
Sites, in units of the cell vectors:
Mn (0.744, 0.744, 0.727)
Ru (0.256, 0.256, 0.227)
Ru (0.001, 0.001, 0.027)
Li (0.500, 0.500, 0.520)



Arrangement 2

A geometry-optimized LiMnRu2 structure, computed with PBE-GGA.

Computed properties:
Calculated density: 8.974 g cm⁻³
Magnetic moment: 0.00 μB/f.u.

Cell lengths 4.103, 4.103, 4.103 Å; angles 60.00, 60.00, 60.00 degrees
Sites, in units of the cell vectors:
Ru (0.750, 0.750, 0.750)
Li (0.000, 0.000, 0.000)
Ru (0.250, 0.250, 0.250)
Mn (0.500, 0.500, 0.500)



It is arrangement 1 that is the least stable of them.



Arrangement 1

A geometry-optimized LiMnRu3 structure, computed with PBE-GGA.

Computed properties:
Calculated density: 9.363 g cm⁻³
Magnetic moment: 0.00 μB/f.u.

Cell lengths 4.016, 4.016, 4.016 Å; angles 90.00, 90.00, 90.00 degrees
Sites, in units of the cell vectors:
Mn (0.500, 0.500, 0.500)
Ru (0.500, 0.000, 0.000)
Ru (0.000, 0.500, 0.000)
Ru (0.000, 0.000, 0.500)
Li (0.000, 0.000, 0.000)



Arrangement 2

A geometry-optimized LiMnRu3 structure, computed with PBE-GGA.

Computed properties:
Calculated density: 7.030 g cm⁻³
Magnetic moment: 0.50 μB/f.u.

Cell lengths 4.418, 4.418, 4.418 Å; angles 90.00, 90.00, 90.00 degrees
Sites, in units of the cell vectors:
Mn (0.000, 0.000, 0.000)
Ru (0.000, 0.000, 0.500)
Li (0.500, 0.500, 0.500)
Ru (0.000, 0.500, 0.000)
Ru (0.500, 0.000, 0.000)



It is arrangement 1 that is the least stable of them.